Entry 1:
A relaxed structure of TcPdPb2. Source: Alexandria via LeMat-Bulk, functional PBE-GGA.

Cell: 4.448 4.448 18.587 Å, 90.00 90.00 90.00°
Space group I-42d (No. 122)
Unique sites:
Tc1 0.000 0.000 0.000 x4
Pd1 0.000 0.000 0.500 x4
Pb1 0.250 0.250 0.125 x8

Results
- calculated formation energy (eV per atom) = 0.637
- V (A^3/atom) = 22.99
- energy relative to the lowest polymorph listed for this composition (eV per atom) = 0.2289
- theoretical density (g/cm3) = 11.2
- calculated total energy (eV/atom) = -5.11


Entry 2:
A relaxed structure of CoAg2Mo. Source: Alexandria via LeMat-Bulk, functional PBE-GGA.

Cell: 4.081 4.081 7.382 Å, 90.00 90.00 90.00°
Space group I-4m2 (No. 119)
Unique sites:
Co1 0.000 0.000 0.000 x2
Ag1 0.000 0.000 0.500 x2
Ag2 0.000 0.500 0.250 x2
Mo1 0.000 0.500 0.750 x2

Results
- calculated formation energy (eV per atom) = 0.636
- V (A^3/atom) = 15.37
- energy relative to the lowest polymorph listed for this composition (eV per atom) = 0.3569
- theoretical density (g/cm3) = 10.0
- calculated total energy (eV/atom) = -5.27